Record 1
The following is a PBE-GGA calculation of a relaxed structure of VFe2Mo, from Alexandria via LeMat-Bulk.

Cell: 4.167 4.167 2.971 Å, 90.00 90.00 90.00°
Space group P4/mmm (No. 123)
One atom of each set of equivalent atoms:
1 V 0.000 0.000 0.000 x1
2 Fe 0.000 0.500 0.500 x2
3 Mo 0.500 0.500 0.000 x1

Properties
* raw total energy: -0.33676 Ha/atom
* E_form: 0.055 eV/atom
* distance to the lowest polymorph of the same formula: 0.086 eV/atom

Record 2
The following is a PBE-GGA calculation of a relaxed structure of K3TeH, from Alexandria via LeMat-Bulk.

Cell: 5.440 7.578 9.648 Å, 67.24 73.71 89.92°
Space group P1 (No. 1)
One atom of each set of equivalent atoms:
1 K 0.000 0.000 0.000 x1
2 K 0.000 0.500 0.001 x1
3 K 0.205 0.108 0.587 x1
4 K 0.387 0.632 0.228 x1
5 K 0.612 0.368 0.772 x1
6 K 0.795 0.891 0.414 x1
7 Te 0.403 0.154 0.195 x1
8 Te 0.597 0.845 0.805 x1
9 H 0.128 0.349 0.741 x1
10 H 0.872 0.650 0.258 x1

Properties
* raw total energy: -0.09617 Ha/atom
* distance to the lowest polymorph of the same formula: 0.046 eV/atom

Record 3
The following is a PBE-GGA calculation of a relaxed structure of Li2CaAcHg4, from Alexandria via LeMat-Bulk.

Cell: 4.9390 4.9390 29.1922 Å, 90.00 90.00 120.00°
Space group R-3m (No. 166, hexagonal axes)
One atom of each set of equivalent atoms:
1 Li 0.0000 0.0000 0.2397 x6
2 Ca 0.0000 0.0000 0.5000 x3
3 Ac 0.0000 0.0000 0.0000 x3
4 Hg 0.0000 0.0000 0.1179 x6
5 Hg 0.0000 0.0000 0.3928 x6

Properties
* raw total energy: -0.06662 Ha/atom
* E_form: -0.420 eV/atom

Record 4
The following is a PBE-GGA calculation of a relaxed structure of Nd5DyZn4, from Alexandria via LeMat-Bulk.

Cell: 3.681 3.681 19.770 Å, 90.00 90.00 90.00°
Space group P4/mmm (No. 123)
One atom of each set of equivalent atoms:
1 Nd 0.000 0.000 0.000 x1
2 Nd 0.000 0.000 0.186 x2
3 Nd 0.000 0.000 0.372 x2
4 Dy 0.500 0.500 0.500 x1
5 Zn 0.500 0.500 0.094 x2
6 Zn 0.500 0.500 0.280 x2

Properties
* raw total energy: -0.13205 Ha/atom
* E_form: -0.240 eV/atom

Record 5
The following is a PBE-GGA calculation of a relaxed structure of SrLa2Cu, from Alexandria via LeMat-Bulk.

Cell: 3.804 3.804 9.718 Å, 90.00 90.00 90.00°
Space group P4/mmm (No. 123)
One atom of each set of equivalent atoms:
1 Sr 0.000 0.000 0.000 x1
2 La 0.500 0.500 0.339 x2
3 Cu 0.000 0.000 0.500 x1

Properties
* raw total energy: -0.14353 Ha/atom
* E_form: 0.003 eV/atom
* distance to the lowest polymorph of the same formula: 0.000 eV/atom

Record 6
The following is a PBE-GGA calculation of a relaxed structure of Sc2NbOs, from Alexandria via LeMat-Bulk.

Cell: 7.678 7.678 5.509 Å, 90.00 90.00 90.00°
Space group I-42d (No. 122)
One atom of each set of equivalent atoms:
1 Sc 0.204 0.250 0.125 x8
2 Nb 0.000 0.000 0.500 x4
3 Os 0.000 0.000 0.000 x4

Properties
* raw total energy: -0.29888 Ha/atom
* E_form: 0.358 eV/atom
* distance to the lowest polymorph of the same formula: 0.313 eV/atom

Record 7
The following is a PBE-GGA calculation of a relaxed structure of As5Pb, from Alexandria via LeMat-Bulk.

Cell: 5.7693 5.7693 4.5484 Å, 90.00 90.00 120.00°
Space group P-62m (No. 189)
One atom of each set of equivalent atoms:
1 As 0.0000 0.5880 0.0000 x3
2 As 0.3333 0.6667 0.5000 x2
3 Pb 0.0000 0.0000 0.5000 x1

Properties
* raw total energy: -0.15180 Ha/atom
* E_form: 0.362 eV/atom
* distance to the lowest polymorph of the same formula: 0.216 eV/atom

Record 8
The following is a PBE-GGA calculation of a relaxed structure of HgP2CO, from Alexandria via LeMat-Bulk.

Cell: 5.029 5.029 4.042 Å, 90.00 90.00 90.00°
Space group P4/mmm (No. 123)
One atom of each set of equivalent atoms:
1 Hg 0.000 0.000 0.000 x1
2 P 0.000 0.500 0.000 x2
3 C 0.500 0.500 0.500 x1
4 O 0.000 0.000 0.500 x1

Properties
* formation energy without anion corrections: 2406.0 meV/atom
* raw total energy: -0.09756 Ha/atom
* distance to the lowest polymorph of the same formula: 1.275 eV/atom

Record 9
The following is a PBE-GGA calculation of a relaxed structure of PaTlPtSe4, from Alexandria via LeMat-Bulk.

Cell: 7.158 5.755 9.425 Å, 90.00 108.67 90.00°
Space group P2_1/m (No. 11)
One atom of each set of equivalent atoms:
1 Pa 0.227 0.250 0.451 x2
2 Tl 0.248 0.250 0.949 x2
3 Pt 0.243 0.750 0.673 x2
4 Se 0.040 0.750 0.841 x2
5 Se 0.070 0.750 0.398 x2
6 Se 0.464 0.508 0.297 x4

Properties
* formation energy without anion corrections: -745.8 meV/atom
* raw total energy: -0.19457 Ha/atom

Record 10
The following is a PBE-GGA calculation of a relaxed structure of CaSm12Y2, from Alexandria via LeMat-Bulk.

Cell: 7.156 11.546 25.260 Å, 90.00 90.00 90.00°
Space group Cmme (No. 67)
One atom of each set of equivalent atoms:
1 Ca 0.000 0.250 0.000 x4
2 Sm 0.000 0.001 0.083 x8
3 Sm 0.000 0.023 0.559 x8
4 Sm 0.232 0.250 0.416 x8
5 Sm 0.249 0.250 0.861 x8
6 Sm 0.250 0.000 0.204 x8
7 Sm 0.250 0.000 0.328 x8
8 Y 0.000 0.250 0.270 x4
9 Y 0.000 0.250 0.726 x4

Properties
* raw total energy: -0.16971 Ha/atom
* E_form: 0.153 eV/atom

Record 11
The following is a PBE-GGA calculation of a relaxed structure of PmNd5Tl4, from Alexandria via LeMat-Bulk.

Cell: 8.336 9.438 8.872 Å, 90.00 90.00 90.00°
Space group Pmmn (No. 59, origin choice 2)
One atom of each set of equivalent atoms:
1 Pm 0.250 0.250 0.176 x2
2 Nd 0.007 0.555 0.230 x8
3 Nd 0.250 0.750 0.581 x2
4 Tl 0.081 0.750 0.938 x4
5 Tl 0.250 0.087 0.498 x4

Properties
* raw total energy: -0.14224 Ha/atom
* E_form: -0.065 eV/atom
* distance to the lowest polymorph of the same formula: 0.233 eV/atom

Record 12
The following is a PBE-GGA calculation of a relaxed structure of Ag2PdAu, from Alexandria via LeMat-Bulk.

Cell: 3.431 3.431 5.906 Å, 90.00 90.00 90.00°
Space group P4/mmm (No. 123)
One atom of each set of equivalent atoms:
1 Ag 0.000 0.000 0.245 x2
2 Pd 0.500 0.500 0.000 x1
3 Au 0.500 0.500 0.500 x1

Properties
* raw total energy: -0.13119 Ha/atom
* E_form: -0.027 eV/atom
* distance to the lowest polymorph of the same formula: 0.053 eV/atom

Record 13
The following is a PBE-GGA calculation of a relaxed structure of UHgI3, from Alexandria via LeMat-Bulk.

Cell: 8.4557 8.4557 3.9442 Å, 90.00 90.00 120.00°
Space group P-6 (No. 174)
One atom of each set of equivalent atoms:
1 U 0.0000 0.0000 0.0000 x1
2 Hg 0.3333 0.6667 0.0000 x1
3 I 0.3268 0.1753 0.5000 x3

Properties
* formation energy without anion corrections: -592.6 meV/atom
* raw total energy: -0.14114 Ha/atom
* distance to the lowest polymorph of the same formula: 0.000 eV/atom

Record 14
The following is a PBE-GGA calculation of a relaxed structure of Pm5Hg2Ir2Ru, from Alexandria via LeMat-Bulk.

Cell: 11.837 11.837 3.658 Å, 90.00 90.00 90.00°
Space group P4/mbm (No. 127)
One atom of each set of equivalent atoms:
1 Pm 0.000 0.500 0.000 x2
2 Pm 0.076 0.192 0.000 x8
3 Hg 0.176 0.676 0.500 x4
4 Ir 0.134 0.366 0.500 x4
5 Ru 0.000 0.000 0.500 x2

Properties
* raw total energy: -0.20359 Ha/atom
* E_form: -0.404 eV/atom

Record 15
The following is a PBE-GGA calculation of a relaxed structure of Mg3Tl2Bi, from Alexandria via LeMat-Bulk.

Cell: 3.754 3.754 10.899 Å, 90.00 90.00 90.00°
Space group P4/mmm (No. 123)
One atom of each set of equivalent atoms:
1 Mg 0.000 0.000 0.000 x1
2 Mg 0.000 0.000 0.325 x2
3 Tl 0.500 0.500 0.166 x2
4 Bi 0.500 0.500 0.500 x1

Properties
* raw total energy: -0.08391 Ha/atom
* E_form: -0.051 eV/atom
* distance to the lowest polymorph of the same formula: 0.000 eV/atom

Record 16
The following is a PBE-GGA calculation of a relaxed structure of SrTb2GeN4, from Alexandria via LeMat-Bulk.

Cell: 3.437 12.021 11.867 Å, 90.00 90.00 90.00°
Space group Cmcm (No. 63)
One atom of each set of equivalent atoms:
1 Sr 0.000 0.094 0.250 x4
2 Tb 0.000 0.370 0.039 x8
3 Ge 0.000 0.177 0.750 x4
4 N 0.000 0.000 0.000 x4
5 N 0.000 0.262 0.621 x8
6 N 0.000 0.415 0.250 x4

Properties
* formation energy without anion corrections: -1049.2 meV/atom
* raw total energy: -0.26301 Ha/atom

Record 17
The following is a PBE-GGA calculation of a relaxed structure of TmAlGa2, from Alexandria via LeMat-Bulk.

Cell: 4.2935 4.2935 14.9832 Å, 90.00 90.00 120.00°
Space group R-3m (No. 166, hexagonal axes)
One atom of each set of equivalent atoms:
1 Tm 0.0000 0.0000 0.0000 x3
2 Al 0.0000 0.0000 0.5000 x3
3 Ga 0.0000 0.0000 0.2249 x6

Properties
* raw total energy: -0.14402 Ha/atom
* E_form: -0.352 eV/atom

Record 18
The following is a PBE-GGA calculation of a relaxed structure of ZrCdSi, from Alexandria via LeMat-Bulk.

Cell: 3.0982 3.0982 7.2472 Å, 90.00 90.00 120.00°
Space group P3m1 (No. 156)
One atom of each set of equivalent atoms:
1 Zr 0.0000 0.0000 0.0000 x1
2 Cd 0.6667 0.3333 0.3635 x1
3 Si 0.3333 0.6667 0.6918 x1

Properties
* formation energy without anion corrections: 50.3 meV/atom
* raw total energy: -0.18051 Ha/atom

Record 19
The following is a PBE-GGA calculation of a relaxed structure of Tb5CePr8, from Alexandria via LeMat-Bulk.

Cell: 15.556 8.485 8.708 Å, 90.00 120.99 90.00°
Space group C2 (No. 5)
One atom of each set of equivalent atoms:
1 Tb 0.000 0.000 0.000 x2
2 Tb 0.051 0.642 0.277 x4
3 Tb 0.108 0.335 0.979 x4
4 Ce 0.000 0.313 0.500 x2
5 Pr 0.123 0.959 0.689 x4
6 Pr 0.178 0.557 0.725 x4
7 Pr 0.183 0.734 0.069 x4
8 Pr 0.185 0.243 0.425 x4

Properties
* raw total energy: -0.16965 Ha/atom
* E_form: 0.192 eV/atom

Record 20
The following is a PBE-GGA calculation of a relaxed structure of ZrScZnIr, from Alexandria via LeMat-Bulk.

Cell: 6.610 6.610 6.610 Å, 90.00 90.00 90.00°
Space group F-43m (No. 216)
One atom of each set of equivalent atoms:
1 Zr 0.000 0.000 0.000 x4
2 Sc 0.000 0.000 0.500 x4
3 Zn 0.250 0.250 0.750 x4
4 Ir 0.250 0.250 0.250 x4

Properties
* raw total energy: -0.25303 Ha/atom
* E_form: -0.632 eV/atom